! MnIn2Mo GGA-PBEsol optimized geometry; values from VASP
! symmetry	Imm2, No. 44
! final energy	-6.520	eV per atom
! DFT formation energy	0.3541	eV per atom
&SYSTEM
  ibrav = 0, nat = 4, ntyp = 3
/
ATOMIC_SPECIES
Mn 54.94 Mn.upf
In 114.82 In.upf
Mo 95.94 Mo.upf
CELL_PARAMETERS angstrom
-1.5678 2.3173 4.8082
1.5678 -2.3173 4.8082
1.5678 2.3173 -4.8082
ATOMIC_POSITIONS crystal
Mn 0.0000 0.0000 0.0000
In 0.4650 0.4650 0.0000
In 0.7449 0.2449 0.5000
Mo 0.2002 0.7002 0.5000

! MnInMo2 GGA-PBEsol optimized geometry; values from VASP
! symmetry	Cmmm, No. 65
! final energy	-8.635	eV per atom
! DFT formation energy	0.4351	eV per atom
&SYSTEM
  ibrav = 0, nat = 4, ntyp = 3
/
ATOMIC_SPECIES
Mn 54.94 Mn.upf
In 114.82 In.upf
Mo 95.94 Mo.upf
CELL_PARAMETERS angstrom
2.6523 -4.3400 0.0000
2.6523 4.3400 0.0000
0.0000 0.0000 2.7062
ATOMIC_POSITIONS crystal
Mn 0.0000 0.0000 0.0000
In 0.5000 0.5000 0.0000
Mo 0.0000 0.5000 0.5000
Mo 0.5000 0.0000 0.5000

! MnIn2Mo GGA-PBEsol optimized geometry; values from VASP
! symmetry	Pmmm, No. 47
! final energy	-6.511	eV per atom
! DFT formation energy	0.3623	eV per atom
&SYSTEM
  ibrav = 0, nat = 4, ntyp = 3
/
ATOMIC_SPECIES
Mn 54.94 Mn.upf
In 114.82 In.upf
Mo 95.94 Mo.upf
CELL_PARAMETERS angstrom
2.8599 0.0000 0.0000
0.0000 4.0844 0.0000
0.0000 0.0000 5.8764
ATOMIC_POSITIONS crystal
Mn 0.0000 0.0000 0.0000
In 0.5000 0.5000 0.2475
In 0.5000 0.5000 0.7525
Mo 0.0000 0.0000 0.5000

! MnIn2Mo GGA-PBEsol optimized geometry; values from VASP
! symmetry	Fm-3m, No. 225
! final energy	-6.425	eV per atom
! DFT formation energy	0.4486	eV per atom
&SYSTEM
  ibrav = 0, nat = 4, ntyp = 3
/
ATOMIC_SPECIES
Mn 54.94 Mn.upf
In 114.82 In.upf
Mo 95.94 Mo.upf
CELL_PARAMETERS angstrom
0.0000 3.2476 3.2476
3.2476 0.0000 3.2476
3.2476 3.2476 0.0000
ATOMIC_POSITIONS crystal
Mn 0.0000 0.0000 0.0000
In 0.2500 0.2500 0.2500
In 0.7500 0.7500 0.7500
Mo 0.5000 0.5000 0.5000

! MnInMo2 GGA-PBEsol optimized geometry; values from VASP
! symmetry	P4/mmm, No. 123
! final energy	-8.843	eV per atom
! DFT formation energy	0.2266	eV per atom
&SYSTEM
  ibrav = 0, nat = 4, ntyp = 3
/
ATOMIC_SPECIES
Mn 54.94 Mn.upf
In 114.82 In.upf
Mo 95.94 Mo.upf
CELL_PARAMETERS angstrom
2.8190 0.0000 0.0000
0.0000 2.8190 0.0000
0.0000 0.0000 7.6502
ATOMIC_POSITIONS crystal
Mn 0.0000 0.0000 0.0000
In 0.0000 0.0000 0.5000
Mo 0.5000 0.5000 0.2065
Mo 0.5000 0.5000 0.7935

! MnInMo2 GGA-PBEsol optimized geometry; values from VASP
! symmetry	Pmmm, No. 47
! final energy	-8.746	eV per atom
! DFT formation energy	0.3237	eV per atom
&SYSTEM
  ibrav = 0, nat = 4, ntyp = 3
/
ATOMIC_SPECIES
Mn 54.94 Mn.upf
In 114.82 In.upf
Mo 95.94 Mo.upf
CELL_PARAMETERS angstrom
2.8680 0.0000 0.0000
0.0000 3.6970 0.0000
0.0000 0.0000 5.8004
ATOMIC_POSITIONS crystal
Mn 0.0000 0.0000 0.0000
In 0.0000 0.0000 0.5000
Mo 0.5000 0.5000 0.2055
Mo 0.5000 0.5000 0.7945

! MnInTeN2 GGA-PBEsol optimized geometry; values from VASP
! formation energy without anion corrections	1.498	eV/atom
! symmetry	P4/mmm, No. 123
! final energy	-5.167	eV per atom
&SYSTEM
  ibrav = 0, nat = 5, ntyp = 4
/
ATOMIC_SPECIES
Mn 54.94 Mn.upf
In 114.82 In.upf
Te 127.60 Te.upf
N 14.01 N.upf
CELL_PARAMETERS angstrom
4.1379 0.0000 0.0000
0.0000 4.1379 0.0000
0.0000 0.0000 6.1027
ATOMIC_POSITIONS crystal
Mn 0.0000 0.0000 0.0000
In 0.5000 0.5000 0.5000
Te 0.5000 0.5000 0.0000
N 0.0000 0.5000 0.5000
N 0.5000 0.0000 0.5000

! Mn2InNi GGA-PBEsol optimized geometry; values from VASP
! symmetry	I4/mmm, No. 139
! final energy	-6.950	eV per atom
! DFT formation energy	0.2157	eV per atom
&SYSTEM
  ibrav = 0, nat = 4, ntyp = 3
/
ATOMIC_SPECIES
Mn 54.94 Mn.upf
In 114.82 In.upf
Ni 58.69 Ni.upf
CELL_PARAMETERS angstrom
-1.9106 1.9106 3.8129
1.9106 -1.9106 3.8129
1.9106 1.9106 -3.8129
ATOMIC_POSITIONS crystal
Mn 0.2500 0.7500 0.5000
Mn 0.7500 0.2500 0.5000
In 0.0000 0.0000 0.0000
Ni 0.5000 0.5000 0.0000

! MnInNiPb2 GGA-PBEsol optimized geometry; values from VASP
! symmetry	P4/mmm, No. 123
! final energy	-4.831	eV per atom
! DFT formation energy	0.5487	eV per atom
&SYSTEM
  ibrav = 0, nat = 5, ntyp = 4
/
ATOMIC_SPECIES
Mn 54.94 Mn.upf
In 114.82 In.upf
Ni 58.69 Ni.upf
Pb 207.20 Pb.upf
CELL_PARAMETERS angstrom
5.0290 0.0000 0.0000
0.0000 5.0290 0.0000
0.0000 0.0000 4.8688
ATOMIC_POSITIONS crystal
Mn 0.0000 0.0000 0.0000
In 0.5000 0.5000 0.0000
Ni 0.5000 0.5000 0.5000
Pb 0.0000 0.5000 0.5000
Pb 0.5000 0.0000 0.5000

! Mn3In2Sb3O14 GGA-PBEsol optimized geometry; values from VASP
! formation energy without anion corrections	-1.471	eV/atom
! symmetry	C2/m, No. 12
! final energy	-7.035	eV per atom
&SYSTEM
  ibrav = 0, nat = 22, ntyp = 4
/
ATOMIC_SPECIES
Mn 54.94 Mn.upf
In 114.82 In.upf
Sb 121.76 Sb.upf
O 16.00 O.upf
CELL_PARAMETERS angstrom
6.0776 -3.5985 0.0000
6.0776 3.5985 0.0000
-3.9836 0.0000 5.7250
ATOMIC_POSITIONS crystal
Mn 0.0000 0.0000 0.0000
Mn 0.0000 0.0000 0.5000
Mn 0.5000 0.5000 0.0000
In 0.0000 0.5000 0.0000
In 0.5000 0.0000 0.0000
Sb 0.0000 0.5000 0.5000
Sb 0.5000 0.0000 0.5000
Sb 0.5000 0.5000 0.5000
O 0.0682 0.6794 0.8369
O 0.0723 0.0723 0.8209
O 0.0790 0.6763 0.4152
O 0.3206 0.9318 0.1631
O 0.3237 0.9210 0.5848
O 0.3386 0.3386 0.5977
O 0.3701 0.3701 0.1034
O 0.6299 0.6299 0.8966
O 0.6614 0.6614 0.4023
O 0.6763 0.0790 0.4152
O 0.6794 0.0682 0.8369
O 0.9210 0.3237 0.5848
O 0.9277 0.9277 0.1791
O 0.9318 0.3206 0.1631

! Mn2InOs GGA-PBEsol optimized geometry; values from VASP
! symmetry	Pmmm, No. 47
! final energy	-8.410	eV per atom
! DFT formation energy	0.2705	eV per atom
&SYSTEM
  ibrav = 0, nat = 4, ntyp = 3
/
ATOMIC_SPECIES
Mn 54.94 Mn.upf
In 114.82 In.upf
Os 190.23 Os.upf
CELL_PARAMETERS angstrom
2.7949 0.0000 0.0000
0.0000 3.6444 0.0000
0.0000 0.0000 5.5697
ATOMIC_POSITIONS crystal
Mn 0.0000 0.0000 0.2144
Mn 0.0000 0.0000 0.7856
In 0.5000 0.5000 0.5000
Os 0.5000 0.5000 0.0000

! MnIn2Os GGA-PBEsol optimized geometry; values from VASP
! symmetry	P2/m, No. 10
! final energy	-6.443	eV per atom
! DFT formation energy	0.5431	eV per atom
&SYSTEM
  ibrav = 0, nat = 4, ntyp = 3
/
ATOMIC_SPECIES
Mn 54.94 Mn.upf
In 114.82 In.upf
Os 190.23 Os.upf
CELL_PARAMETERS angstrom
2.9831 0.0000 0.0000
0.0000 4.5172 0.0000
-0.3222 0.0000 5.0808
ATOMIC_POSITIONS crystal
Mn 0.0000 0.0000 0.0000
In 0.2430 0.5000 0.7495
In 0.7570 0.5000 0.2505
Os 0.5000 0.0000 0.5000

! MnInOs2 GGA-PBEsol optimized geometry; values from VASP
! symmetry	Cmm2, No. 35
! final energy	-8.632	eV per atom
! DFT formation energy	0.6624	eV per atom
&SYSTEM
  ibrav = 0, nat = 4, ntyp = 3
/
ATOMIC_SPECIES
Mn 54.94 Mn.upf
In 114.82 In.upf
Os 190.23 Os.upf
CELL_PARAMETERS angstrom
1.4300 -2.3667 0.0000
1.4300 2.3667 0.0000
0.0000 0.0000 9.0164
ATOMIC_POSITIONS crystal
Mn 0.0000 0.0000 0.0000
In 0.5000 0.5000 0.7407
Os 0.0000 0.0000 0.4732
Os 0.5000 0.5000 0.2276

! MnInOs GGA-PBEsol optimized geometry; values from VASP
! symmetry	Fmm2, No. 42
! final energy	-7.782	eV per atom
! DFT formation energy	0.5382	eV per atom
&SYSTEM
  ibrav = 0, nat = 3, ntyp = 3
/
ATOMIC_SPECIES
Mn 54.94 Mn.upf
In 114.82 In.upf
Os 190.23 Os.upf
CELL_PARAMETERS angstrom
0.0000 2.3958 6.6266
1.4805 0.0000 6.6266
1.4805 2.3958 0.0000
ATOMIC_POSITIONS crystal
Mn 0.0000 0.0000 0.0000
In 0.3272 0.3272 0.6728
Os 0.6464 0.6464 0.3536

! MnInOs2 GGA-PBEsol optimized geometry; values from VASP
! symmetry	R-3m, No. 166
! final energy	-8.895	eV per atom
! DFT formation energy	0.3988	eV per atom
&SYSTEM
  ibrav = 0, nat = 4, ntyp = 3
/
ATOMIC_SPECIES
Mn 54.94 Mn.upf
In 114.82 In.upf
Os 190.23 Os.upf
CELL_PARAMETERS angstrom
1.3903 0.8027 8.7365
-1.3903 0.8027 8.7365
0.0000 -1.6054 8.7365
ATOMIC_POSITIONS crystal
Mn 0.0000 0.0000 0.0000
In 0.5000 0.5000 0.5000
Os 0.2586 0.2586 0.2586
Os 0.7414 0.7414 0.7414